Computed, not measured: a relaxed PaMoRhO6 crystal at the GGA+U level of DFT.

Cell and atoms, written as CIF:
```
data_PaMoRhO6
_cell_length_a 5.4705
_cell_length_b 5.4705
_cell_length_c 8.6847
_cell_angle_alpha 90.00
_cell_angle_beta 90.00
_cell_angle_gamma 120.00
_symmetry_space_group_name_H-M 'P -3 1 c'
_symmetry_Int_Tables_number 163
_symmetry_space_group_name_Hall '-P 3 2c'
loop_
_atom_site_label
_atom_site_type_symbol
_atom_site_fract_x
_atom_site_fract_y
_atom_site_fract_z
Pa1 Pa 0.3333 0.6667 0.2500
Mo1 Mo 0.3333 0.6667 0.7500
Rh1 Rh 0.0000 0.0000 0.0000
O1 O 0.0168 0.3395 0.6244
```

Values from the calculation:
VASP energy in eV/cell: -142.9